Below is a geometry-optimized Y2NiGe4Rh3 structure, with properties calculated at the PBE level.

a b c (Å): 4.162 4.162 10.208
angles (deg): 90.00 90.00 90.00
Element x y z (fractional)
Y  0.000  0.500  0.248
Y  0.500  0.000  0.752
Ni  0.000  0.000  0.500
Ge  0.000  0.000  0.000
Ge  0.000  0.500  0.629
Ge  0.500  0.000  0.371
Ge  0.500  0.500  0.000
Rh  0.000  0.500  0.868
Rh  0.500  0.000  0.132
Rh  0.500  0.500  0.500

Calculated values
- SG = P-4m2 (115)
- total magnetic moment (μB/cell) = 0.00
- E_form (eV per atom) = -0.78
- total energy (eV/cell) = -67.004